Record 1
Entry from Alexandria via LeMat-Bulk: an optimized crystal structure of GaReC3 (PBE-GGA).

Cell lengths 4.0680, 4.0680, 4.0680 Å; angles 90.00, 90.00, 90.00 degrees
Last column: nearest neighbours and their distance in Å.
Space group Pm-3m (No. 221)
Symmetry-distinct sites (fractional):
1 Ga 0.0000 0.0000 0.0000 [1 per cell]  12 C 2.88
2 Re 0.5000 0.5000 0.5000 [1 per cell]  6 C 2.03
3 C 0.0000 0.5000 0.5000 [3 per cell]  2 Re 2.03

Computed properties:
Energy above the lowest structure with this stoichiometry, meV/atom: 0
Volume, Å³/cell: 67

Record 2
Entry from Alexandria via LeMat-Bulk: an optimized crystal structure of Ga3ReC (PBE-GGA).

Cell lengths 4.1572, 4.1572, 4.1572 Å; angles 90.00, 90.00, 90.00 degrees
Last column: nearest neighbours and their distance in Å.
Space group Pm-3m (No. 221)
Symmetry-distinct sites (fractional):
1 Ga 0.0000 0.0000 0.5000 [3 per cell]  2 C 2.08
2 Re 0.5000 0.5000 0.5000 [1 per cell]  12 Ga 2.94
3 C 0.0000 0.0000 0.0000 [1 per cell]  6 Ga 2.08

Computed properties:
Energy above the lowest structure with this stoichiometry, meV/atom: 0
Volume, Å³/cell: 72

Record 3
Entry from Alexandria via LeMat-Bulk: an optimized crystal structure of GaRe2CSe (PBE-GGA).

Cell lengths 4.5515, 4.5515, 4.8815 Å; angles 90.00, 90.00, 90.00 degrees
Last column: nearest neighbours and their distance in Å.
Space group P4/mmm (No. 123)
Symmetry-distinct sites (fractional):
1 Ga 0.0000 0.0000 0.0000 [1 per cell]  2 Se 2.44
2 Re 0.0000 0.5000 0.5000 [2 per cell]  2 Se 2.28
3 C 0.5000 0.5000 0.0000 [1 per cell]  4 Ga 3.22, 8 Re 3.34
4 Se 0.0000 0.0000 0.5000 [1 per cell]  4 Re 2.28, 2 Ga 2.44

Computed properties:
Volume, Å³/cell: 101
E_form (uncorrected), eV/f.u.: 14.46

Number 1: total moment 0.00 Bohr magnetons per cell. Number 2: total moment 0.00 Bohr magnetons per cell. Number 3: total moment 0.01 Bohr magnetons per cell.